First-principles (PBE) data for LaMn2B after structural relaxation, as listed in Alexandria via LeMat-Bulk.

As for the energy of formation from the pure elements: 0.30 eV per atom. The crystal system is tetragonal.

It has space group I4_1/amd (No. 141, origin choice 2), with a = 4.3278 Å, b = 4.3278 Å, c = 14.7887 Å, α = 90.00°, β = 90.00° and γ = 90.00°. The inequivalent atoms are La at (0.0000, 0.2500, 0.3750), Mn at (0.0000, 0.0000, 0.0000) and B at (0.0000, 0.2500, 0.8750).